[1]
This record from the Alexandria database describes Li8YGa4 after structural relaxation. The functional is PBE.

Cell lengths 5.439, 6.980, 6.980 Å; angles 81.27, 67.07, 67.07 degrees
Fractional coordinates of all 13 atoms:
Ga1 0.000 0.500 0.000
Li1 0.500 0.780 0.220
Li2 0.500 0.220 0.780
Li3 0.000 0.655 0.345
Li4 0.655 0.345 0.345
Li5 0.720 0.780 0.780
Li6 0.280 0.220 0.220
Li7 0.345 0.655 0.655
Li8 0.000 0.345 0.655
Ga2 0.000 0.000 0.500
Y1 0.000 0.000 0.000
Ga3 0.500 0.000 0.500
Ga4 0.500 0.500 0.000

Calculated values
SG: I4/mmm, No. 139

=====

[2]
This record from the Alexandria database describes LiYGa2 after structural relaxation. The functional is PBE.

Cell lengths 3.671, 4.714, 4.714 Å; angles 90.00, 90.00, 90.00 degrees
Fractional coordinates of all 4 atoms:
Li1 0.500 0.500 0.500
Ga1 0.000 0.500 0.000
Ga2 0.000 0.000 0.500
Y1 0.500 0.000 0.000

Calculated values
SG: P4/mmm, No. 123

=====

Across the entries above, energy relative to the elements takes the values -0.254, -0.453 eV per atom, respectively.
Across the entries above, M_tot takes the values 0.000, 0.000 μB per atom, respectively.